This record from the Alexandria database describes an optimized crystal structure of La3UPa2N6. The functional is GGA-PBE.

Geometry as extended XYZ:
```
12
Lattice="-4.2321 -3.5456 -2.8385 5.6590 -2.2633 1.1797 -2.3525 -0.0189 5.7969" Properties=species:S:1:pos:R:3 pbc="T T T"
La -0.4628 -2.9139 2.0691
La -3.7574 -3.3410 0.7307
La 2.8317 -2.4868 3.4075
Pa -0.9347 -3.1181 -1.4989
Pa 2.3616 -2.6908 -0.1598
N 0.5898 -4.3060 -0.0777
N -1.5154 -1.5218 4.2159
N -2.3991 -4.7065 2.7215
N 1.4734 -1.1213 1.4167
N -1.7479 -1.5389 0.1080
N 0.8223 -4.2889 4.0302
U 0.0000 0.0000 0.0000
```

Results
Density of states at the Fermi level = 6.442 states/eV per cell
Mass density = 10.122 Mg/m³
Raw total energy = -9.4309 eV per atom
ΔE_f (raw) = -1.51 eV/atom
Calculated volume = 197 Å³/cell
SG = C2/m (12)